A relaxed structure of Ta2Pt. Source: Alexandria via LeMat-Bulk, functional PBE-GGA.

Lattice parameters (Å, degrees): 5.329 5.329 5.329 60.00 60.00 60.00
Element x y z (fractional)
Pt (0.000, 0.000, 0.000)
Pt (0.250, 0.250, 0.250)
Ta (0.625, 0.125, 0.625)
Ta (0.125, 0.625, 0.625)
Ta (0.625, 0.625, 0.625)
Ta (0.625, 0.625, 0.125)

## Properties
ΔH_f (0 K)   0.09 eV/atom
Symmetry   Fd-3m
DOS(E_F)   4.64 states/eV per cell

A relaxed structure of Ta2Pt. Source: Alexandria via LeMat-Bulk, functional PBE-GGA.

Lattice parameters (Å, degrees): 7.450 7.450 4.821 90.00 90.00 157.06
Element x y z (fractional)
Ta (0.256, 0.744, 0.750)
Ta (0.744, 0.256, 0.250)
Ta (0.927, 0.073, 0.750)
Ta (0.073, 0.927, 0.250)
Pt (0.402, 0.598, 0.250)
Pt (0.598, 0.402, 0.750)

## Properties
ΔH_f (0 K)   -0.32 eV/atom
Symmetry   Cmcm
DOS(E_F)   5.27 states/eV per cell

A relaxed structure of Ta3Pt5. Source: Alexandria via LeMat-Bulk, functional PBE-GGA.

Lattice parameters (Å, degrees): 7.829 7.830 5.421 90.00 90.00 60.00
Element x y z (fractional)
Ta (0.000, 0.689, 0.750)
Ta (0.311, 0.000, 0.750)
Ta (0.689, 0.311, 0.750)
Ta (0.000, 0.311, 0.250)
Ta (0.311, 0.689, 0.250)
Ta (0.689, 0.000, 0.250)
Pt (0.333, 0.333, 0.500)
Pt (0.333, 0.333, 0.000)
Pt (0.654, 0.346, 0.250)
Pt (0.000, 0.653, 0.250)
Pt (0.653, 0.000, 0.750)
Pt (0.000, 0.347, 0.750)
Pt (0.346, 0.654, 0.750)
Pt (0.347, 0.000, 0.250)
Pt (0.667, 0.667, 0.000)
Pt (0.667, 0.667, 0.500)

## Properties
ΔH_f (0 K)   -0.45 eV/atom
Symmetry   P6_3/mcm
DOS(E_F)   10.28 states/eV per cell

A relaxed structure of Ta3Pt. Source: Alexandria via LeMat-Bulk, functional PBE-GGA.

Lattice parameters (Å, degrees): 5.790 5.790 9.652 90.00 90.00 60.00
Element x y z (fractional)
Pt (0.333, 0.333, 0.750)
Pt (0.667, 0.667, 0.250)
Pt (0.000, 0.000, 0.000)
Pt (0.000, 0.000, 0.500)
Ta (0.332, 0.834, 0.750)
Ta (0.000, 0.500, 0.500)
Ta (0.834, 0.834, 0.750)
Ta (0.166, 0.166, 0.250)
Ta (0.500, 0.000, 0.500)
Ta (0.166, 0.668, 0.250)
Ta (0.500, 0.500, 0.500)
Ta (0.834, 0.332, 0.750)
Ta (0.668, 0.166, 0.250)
Ta (0.500, 0.000, 0.000)
Ta (0.000, 0.500, 0.000)
Ta (0.500, 0.500, 0.000)

## Properties
ΔH_f (0 K)   -0.23 eV/atom
Symmetry   P6_3/mmc
DOS(E_F)   15.64 states/eV per cell

A relaxed structure of Ta3Pt. Source: Alexandria via LeMat-Bulk, functional PBE-GGA.

Lattice parameters (Å, degrees): 5.138 5.138 2.846 90.00 90.00 110.81
Element x y z (fractional)
Ta (0.500, 0.500, 0.000)
Ta (0.000, 0.500, 0.500)
Ta (0.500, 0.000, 0.500)
Pt (0.000, 0.000, 0.000)

## Properties
ΔH_f (0 K)   -0.16 eV/atom
Symmetry   Cmmm
DOS(E_F)   4.42 states/eV per cell

A relaxed structure of Tb3TaPt12. Source: Alexandria via LeMat-Bulk, functional PBE-GGA.

Lattice parameters (Å, degrees): 4.093 4.093 16.418 90.00 90.00 90.00
Element x y z (fractional)
Pt (0.500, 0.000, 0.627)
Pt (0.500, 0.000, 0.373)
Pt (0.000, 0.500, 0.115)
Pt (0.000, 0.500, 0.627)
Pt (0.000, 0.500, 0.885)
Pt (0.500, 0.000, 0.885)
Pt (0.500, 0.500, 0.757)
Pt (0.500, 0.500, 0.243)
Pt (0.000, 0.500, 0.373)
Pt (0.500, 0.500, 0.000)
Pt (0.500, 0.000, 0.115)
Pt (0.500, 0.500, 0.500)
Tb (0.000, 0.000, 0.500)
Tb (0.000, 0.000, 0.249)
Tb (0.000, 0.000, 0.751)
Ta (0.000, 0.000, 0.000)

## Properties
ΔH_f (0 K)   -0.96 eV/atom
Symmetry   P4/mmm
DOS(E_F)   9.45 states/eV per cell

A relaxed structure of TbTaPt6. Source: Alexandria via LeMat-Bulk, functional PBE-GGA.

Lattice parameters (Å, degrees): 4.063 4.063 8.137 90.00 90.00 90.00
Element x y z (fractional)
Ta (0.000, 0.000, 0.500)
Tb (0.000, 0.000, 0.000)
Pt (0.500, 0.000, 0.266)
Pt (0.500, 0.000, 0.734)
Pt (0.000, 0.500, 0.734)
Pt (0.000, 0.500, 0.266)
Pt (0.500, 0.500, 0.000)
Pt (0.500, 0.500, 0.500)

## Properties
ΔH_f (0 K)   -0.88 eV/atom
Symmetry   P4/mmm
DOS(E_F)   0.55 states/eV per cell

A relaxed structure of TaTcPt2. Source: Alexandria via LeMat-Bulk, functional PBE-GGA.

Lattice parameters (Å, degrees): 3.438 3.438 5.462 90.00 90.00 90.00
Element x y z (fractional)
Ta (0.500, 0.500, 0.250)
Tc (0.500, 0.500, 0.750)
Pt (0.000, 0.000, 0.501)
Pt (0.000, 0.000, 0.999)

## Properties
ΔH_f (0 K)   -0.28 eV/atom
Symmetry   P4/mmm
DOS(E_F)   3.70 states/eV per cell

Number 1: volume 17.835 Å³/atom. Number 2: volume 17.386 Å³/atom. Number 3: volume 17.987 Å³/atom. Number 4: volume 17.516 Å³/atom. Number 5: volume 17.557 Å³/atom. Number 6: volume 17.188 Å³/atom. Number 7: volume 16.793 Å³/atom. Number 8: volume 16.141 Å³/atom.